(1)
## Pu2InBr (PBE)

Data for crystalline Pu2InBr at its relaxed geometry.

## Properties
As for the energy relative to the elements, uncorrected: -1.85 eV per formula unit.

a b c (Å): 3.3784 3.3784 9.0021
angles (deg): 90.00 90.00 90.00
Atoms (fractional coordinates):
In 0.5000 0.5000 0.5000
Br 0.5000 0.5000 0.0000
Pu 0.0000 0.0000 0.7564
Pu 0.0000 0.0000 0.2436

---

(2)
## AcTmZn2Ge2 (PBE)

Data for crystalline AcTmZn2Ge2 at its relaxed geometry.

## Properties
For the formation energy, the calculation gives -0.598 eV/atom.

a b c (Å): 4.2568 4.2568 8.5871
angles (deg): 90.00 90.00 120.00
Atoms (fractional coordinates):
Ac 0.0000 0.0000 0.0000
Tm 0.0000 0.0000 0.5000
Zn 0.6667 0.3333 0.2691
Zn 0.3333 0.6667 0.7309
Ge 0.6667 0.3333 0.7188
Ge 0.3333 0.6667 0.2812

---

(3)
## Pu6Pa12Al (PBE)

Data for crystalline Pu6Pa12Al at its relaxed geometry.

## Properties
For the formation energy, the calculation gives 0.055 eV/atom.

a b c (Å): 8.1521 8.1521 8.1521
angles (deg): 109.47 109.47 109.47
Atoms (fractional coordinates):
Pu 0.3751 0.5000 0.8751
Pu 0.6249 0.5000 0.1249
Pu 0.5000 0.8751 0.3751
Pu 0.5000 0.1249 0.6249
Pu 0.8751 0.3751 0.5000
Pu 0.1249 0.6249 0.5000
Pa 0.2696 0.0598 0.7903
Pa 0.2696 0.4793 0.2097
Pa 0.7304 0.5207 0.7903
Pa 0.7304 0.9402 0.2097
Pa 0.0598 0.7903 0.2696
Pa 0.4793 0.2097 0.2696
Pa 0.5207 0.7903 0.7304
Pa 0.9402 0.2097 0.7304
Pa 0.7903 0.2696 0.0598
Pa 0.2097 0.2696 0.4793
Pa 0.7903 0.7304 0.5207
Pa 0.2097 0.7304 0.9402
Al 0.0000 0.0000 0.0000

---

(4)
## CdCu2AgF8 (PBE)

Data for crystalline CdCu2AgF8 at its relaxed geometry.

## Properties
As for the energy relative to the elements, uncorrected: -18.27 eV per formula unit.

a b c (Å): 5.4307 5.4307 6.7524
angles (deg): 113.71 113.71 90.00
Atoms (fractional coordinates):
Cd 0.0000 0.0000 0.0000
Cu 0.5000 0.5000 0.0000
Cu 0.2500 0.7500 0.5000
Ag 0.7500 0.2500 0.5000
F 0.7332 0.8357 0.1149
F 0.3816 0.2792 0.1149
F 0.5925 0.6431 0.6157
F 0.0232 0.9727 0.6157
F 0.0273 0.4075 0.3843
F 0.3569 0.9768 0.3843
F 0.1643 0.6184 0.8851
F 0.7208 0.2668 0.8851

---

(5)
## Sc2BBr (PBE)

Data for crystalline Sc2BBr at its relaxed geometry.

## Properties
Its energy relative to the lowest polymorph listed for this composition is 14.35 kcal/mol of atoms. As for the energy relative to the elements, uncorrected: -0.13 eV per formula unit.

a b c (Å): 4.6058 4.6058 4.6058
angles (deg): 60.00 60.00 60.00
Atoms (fractional coordinates):
Sc 0.2500 0.2500 0.2500
Sc 0.7500 0.7500 0.7500
B 0.0000 0.0000 0.0000
Br 0.5000 0.5000 0.5000

---

(6)
## RbGaSbN2 (PBE)

Data for crystalline RbGaSbN2 at its relaxed geometry.

## Properties
As for the energy relative to the elements, uncorrected: 11.14 eV per formula unit.

a b c (Å): 5.2328 7.4222 5.2328
angles (deg): 90.00 90.00 90.00
Atoms (fractional coordinates):
Sb 0.0000 0.5000 0.0000
Ga 0.5000 0.5000 0.5000
Rb 0.0000 0.0000 0.0000
N 0.0000 0.0000 0.5000
N 0.5000 0.0000 0.0000

---

(7)
## ReMoI2N (PBE)

Data for crystalline ReMoI2N at its relaxed geometry.

## Properties
Its energy relative to the lowest polymorph listed for this composition is 0.00 kcal/mol of atoms. As for the energy relative to the elements, uncorrected: 5.44 eV per formula unit.

a b c (Å): 5.6016 5.6016 3.7768
angles (deg): 90.00 90.00 90.00
Atoms (fractional coordinates):
I 0.0000 0.5000 0.0000
I 0.5000 0.0000 0.0000
Re 0.0000 0.0000 0.0000
Mo 0.5000 0.5000 0.5000
N 0.0000 0.0000 0.5000

---

(8)
## MgTa2Te (PBE)

Data for crystalline MgTa2Te at its relaxed geometry.

## Properties
Its energy relative to the lowest polymorph listed for this composition is 7.37 kcal/mol of atoms. As for the energy relative to the elements, uncorrected: 1.74 eV per formula unit.

a b c (Å): 9.7418 9.7418 9.7418
angles (deg): 18.46 18.46 18.46
Atoms (fractional coordinates):
Mg 0.7500 0.7500 0.7500
Ta 0.9963 0.9963 0.9963
Ta 0.5037 0.5037 0.5037
Te 0.2500 0.2500 0.2500

---

(9)
## Np2TeAs (PBE)

Data for crystalline Np2TeAs at its relaxed geometry.

## Properties
Its energy relative to the lowest polymorph listed for this composition is 0.00 kcal/mol of atoms. As for the energy relative to the elements, uncorrected: -2.59 eV per formula unit.

a b c (Å): 4.2464 4.2464 7.4023
angles (deg): 73.33 73.33 60.00
Atoms (fractional coordinates):
Np 0.7413 0.7413 0.7760
Np 0.2587 0.2587 0.2240
As 0.0000 0.0000 0.0000
Te 0.5000 0.5000 0.5000

---

(10)
## Rb2LaRe3O12 (PBE)

Data for crystalline Rb2LaRe3O12 at its relaxed geometry.

## Properties
As for the energy relative to the elements, uncorrected: -34.34 eV per formula unit.

a b c (Å): 7.5514 7.5514 7.5514
angles (deg): 59.28 59.28 59.28
Atoms (fractional coordinates):
Rb 0.6193 0.6193 0.6193
Rb 0.3807 0.3807 0.3807
La 0.0000 0.0000 0.0000
Re 0.5000 0.0000 0.0000
Re 0.0000 0.5000 0.0000
Re 0.0000 0.0000 0.5000
O 0.2931 0.2931 0.9233
O 0.9070 0.9070 0.3866
O 0.3866 0.9070 0.9070
O 0.9233 0.2931 0.2931
O 0.9070 0.3866 0.9070
O 0.2931 0.9233 0.2931
O 0.7069 0.7069 0.0767
O 0.0930 0.0930 0.6134
O 0.6134 0.0930 0.0930
O 0.0767 0.7069 0.7069
O 0.0930 0.6134 0.0930
O 0.7069 0.0767 0.7069

---

(11)
## Zr2TlW (PBE)

Data for crystalline Zr2TlW at its relaxed geometry.

## Properties
Its energy relative to the lowest polymorph listed for this composition is 0.00 kcal/mol of atoms. For the formation energy, the calculation gives -0.006 eV/atom.

a b c (Å): 3.4700 3.4700 7.0048
angles (deg): 90.00 90.00 90.00
Atoms (fractional coordinates):
Tl 0.5000 0.5000 0.2500
W 0.5000 0.5000 0.7500
Zr 0.0000 0.0000 0.9727
Zr 0.0000 0.0000 0.5273

---

(12)
## KAgBr4 (PBE)

Data for crystalline KAgBr4 at its relaxed geometry.

## Properties
Its energy relative to the lowest polymorph listed for this composition is 0.00 kcal/mol of atoms. As for the energy relative to the elements, uncorrected: -3.50 eV per formula unit.

a b c (Å): 7.7557 7.8392 9.1804
angles (deg): 115.27 108.17 90.00
Atoms (fractional coordinates):
K 0.2135 0.1574 0.3147
K 0.7865 0.8426 0.6853
Ag 0.7590 0.4165 0.8331
Ag 0.2410 0.5835 0.1669
Br 0.6625 0.2476 0.4951
Br 0.5456 0.3128 0.1545
Br 0.0000 0.2512 0.0000
Br 0.4544 0.1583 0.8455
Br 0.3375 0.7524 0.5049
Br 0.4544 0.6872 0.8455
Br 0.0000 0.7488 0.0000
Br 0.5456 0.8417 0.1545

---

no.,calculated volume (Å³/atom)
1,25.7
2,22.5
3,22.0
4,13.7
5,17.3
6,40.6
7,23.7
8,20.3
9,27.3
10,16.6
11,21.1
12,39.5